Density functional theory data (GGA-PBE) for a relaxed structure of KBeSe2.

a = 4.7455 Å, b = 3.4804 Å, c = 7.3602 Å
α = 90.00°, β = 91.08°, γ = 90.00°
Fractional coordinates of all 4 atoms:
K 0.0000 0.0000 0.0000
Be 0.4950 0.5000 0.5071
Se 0.4905 0.0000 0.6727
Se 0.5060 0.5000 0.2205

Symmetry: Pm, No. 6
Total energy in eV per atom: -3.59
Crystal system: monoclinic
Magnetization in μB per formula unit: 0.00